The following is a GGA-PBE calculation of an optimized crystal structure of Hf3Ga2Si, from Alexandria via LeMat-Bulk.

The calculation puts the density of states at the Fermi level at 14.0 states/eV per cell. The uncorrected formation energy is -0.503 eV per atom. For the total energy, the calculation gives -7.393 eV/atom.

The structure belongs to space group Pnma (No. 62); the cell edges are 11.059, 3.830 and 10.487 Å and the angles 90.00°, 90.00° and 90.00°. The distinct sites, in fractional coordinates, are Hf at (0.043, 0.250, 0.117), Hf at (0.117, 0.750, 0.562), Hf at (0.218, 0.250, 0.790), Ga at (0.011, 0.750, 0.301), Ga at (0.191, 0.750, 0.012) and Si at (0.129, 0.250, 0.374).

The following is a GGA-PBE calculation of an optimized crystal structure of BaGa3Au9, from Alexandria via LeMat-Bulk.

For the calculated formation energy, the calculation gives -0.262 eV per atom. The calculation puts the density of states at the Fermi level at 9.8 states/eV per cell. For the total energy, the calculation gives -3.377 eV/atom.

The structure belongs to space group C2/m (No. 12); the cell edges are 5.581, 14.279 and 6.740 Å and the angles 90.00°, 107.01° and 90.00°. The distinct sites, in fractional coordinates, are Ba at (0.000, 0.000, 0.000), Ga at (0.000, 0.500, 0.500), Ga at (0.250, 0.250, 0.000), Au at (0.000, 0.000, 0.500), Au at (0.078, 0.385, 0.227) and Au at (0.128, 0.178, 0.339).

The following is a GGA-PBE calculation of an optimized crystal structure of NdNCl, from Alexandria via LeMat-Bulk.

The calculation puts the density of states at the Fermi level at 4.0 states/eV per cell. The uncorrected formation energy is -1.227 eV per atom. For the total energy, the calculation gives -6.207 eV/atom.

The structure belongs to space group I4/mmm (No. 139); the cell edges are 3.714, 3.714 and 18.664 Å and the angles 90.00°, 90.00° and 90.00°. The distinct sites, in fractional coordinates, are Nd at (0.000, 0.000, 0.086), N at (0.000, 0.500, 0.000) and Cl at (0.000, 0.000, 0.335).

The following is a GGA-PBE calculation of an optimized crystal structure of LaGd3, from Alexandria via LeMat-Bulk.

The calculation puts the distance to the lowest polymorph of the same formula at 10.4 meV per atom. For the calculated formation energy, the calculation gives 0.021 eV per atom. The calculation puts the density of states at the Fermi level at 14.9 states/eV per cell. For the total energy, the calculation gives -11.772 eV/atom.

The structure belongs to space group I4/mmm (No. 139); the cell edges are 5.114, 5.114 and 10.281 Å and the angles 90.00°, 90.00° and 90.00°. The distinct sites, in fractional coordinates, are La at (0.000, 0.000, 0.000), Gd at (0.000, 0.000, 0.500) and Gd at (0.000, 0.500, 0.250).

The following is a GGA-PBE calculation of an optimized crystal structure of LiBiRh2, from Alexandria via LeMat-Bulk.

The calculation puts the distance to the lowest polymorph of the same formula at 470.3 meV per atom. For the calculated formation energy, the calculation gives 0.180 eV per atom. The calculation puts the density of states at the Fermi level at 4.6 states/eV per cell. For the total energy, the calculation gives -4.944 eV/atom.

The structure belongs to space group I-42d (No. 122); the cell edges are 6.979, 6.979 and 5.572 Å and the angles 90.00°, 90.00° and 90.00°. The distinct sites, in fractional coordinates, are Li at (0.000, 0.000, 0.000), Bi at (0.000, 0.000, 0.500) and Rh at (0.214, 0.250, 0.125).

The following is a GGA-PBE calculation of an optimized crystal structure of Al2Pd2Rh, from Alexandria via LeMat-Bulk.

The calculation puts the distance to the lowest polymorph of the same formula at 252.0 meV per atom. For the calculated formation energy, the calculation gives -0.599 eV per atom. The calculation puts the density of states at the Fermi level at 8.7 states/eV per cell. For the total energy, the calculation gives -5.643 eV/atom.

The structure belongs to space group P4/mbm (No. 127); the cell edges are 7.292, 7.292 and 2.806 Å and the angles 90.00°, 90.00° and 90.00°. The distinct sites, in fractional coordinates, are Al at (0.169, 0.331, 0.000), Pd at (0.132, 0.632, 0.500) and Rh at (0.000, 0.000, 0.500).